{"formula": "K3OsF6", "functional": "PBE", "state": "optimized geometry", "cell": [[3.196, 1.845, 5.250], [-3.196, 1.845, 5.250], [0.000, -3.690, 5.250]], "species": ["K", "K", "K", "Os", "F", "F", "F", "F", "F", "F"], "frac_coords": [[0.000, 0.000, 0.000], [0.250, 0.250, 0.250], [0.750, 0.750, 0.750], [0.500, 0.500, 0.500], [0.274, 0.274, 0.725], [0.274, 0.725, 0.274], [0.275, 0.726, 0.726], [0.725, 0.274, 0.274], [0.726, 0.275, 0.726], [0.726, 0.726, 0.275]], "dos_ef_per_ev_cell": 1.612}

{"formula": "KOs3F", "functional": "PBE", "state": "optimized geometry", "cell": [[4.864, 0.000, 0.000], [0.000, 4.864, 0.000], [0.000, 0.000, 4.864]], "species": ["K", "Os", "Os", "Os", "F"], "frac_coords": [[0.000, 0.000, 0.000], [0.000, 0.000, 0.500], [0.000, 0.500, 0.000], [0.500, 0.000, 0.000], [0.500, 0.500, 0.500]], "dos_ef_per_ev_cell": 4.936}

{"formula": "KOsF2", "functional": "PBE", "state": "optimized geometry", "cell": [[6.554, 0.000, 0.000], [0.000, 6.554, 0.000], [0.000, 0.000, 7.094]], "species": ["K", "K", "K", "K", "Os", "Os", "Os", "Os", "F", "F", "F", "F", "F", "F", "F", "F"], "frac_coords": [[0.000, 0.000, 0.000], [0.000, 0.500, 0.250], [0.500, 0.000, 0.750], [0.500, 0.500, 0.500], [0.000, 0.000, 0.500], [0.000, 0.500, 0.750], [0.500, 0.000, 0.250], [0.500, 0.500, 0.000], [0.208, 0.250, 0.625], [0.250, 0.708, 0.875], [0.250, 0.792, 0.375], [0.292, 0.250, 0.125], [0.708, 0.750, 0.125], [0.750, 0.208, 0.375], [0.750, 0.292, 0.875], [0.792, 0.750, 0.625]], "dos_ef_per_ev_cell": 9.594}

{"formula": "KOsF2", "functional": "PBE", "state": "optimized geometry", "cell": [[3.787, 0.000, 0.000], [-1.894, 3.280, 0.000], [0.000, 0.000, 18.016]], "species": ["K", "K", "K", "Os", "Os", "Os", "F", "F", "F", "F", "F", "F"], "frac_coords": [[0.000, 0.000, 0.000], [0.333, 0.667, 0.667], [0.667, 0.333, 0.333], [0.000, 0.000, 0.500], [0.333, 0.667, 0.167], [0.667, 0.333, 0.833], [0.000, 0.000, 0.138], [0.000, 0.000, 0.862], [0.333, 0.667, 0.529], [0.333, 0.667, 0.804], [0.667, 0.333, 0.196], [0.667, 0.333, 0.471]], "dos_ef_per_ev_cell": 5.198}

{"formula": "KOsF2", "functional": "PBE", "state": "optimized geometry", "cell": [[2.925, 0.000, 0.000], [-1.462, 2.533, 0.000], [0.000, 0.000, 23.030]], "species": ["K", "K", "K", "Os", "Os", "Os", "F", "F", "F", "F", "F", "F"], "frac_coords": [[0.000, 0.000, 0.000], [0.333, 0.667, 0.667], [0.667, 0.333, 0.333], [0.000, 0.000, 0.500], [0.333, 0.667, 0.167], [0.667, 0.333, 0.833], [0.000, 0.000, 0.412], [0.000, 0.000, 0.588], [0.333, 0.667, 0.078], [0.333, 0.667, 0.255], [0.667, 0.333, 0.745], [0.667, 0.333, 0.922]], "dos_ef_per_ev_cell": 7.571}

{"formula": "K2OsF7", "functional": "PBE", "state": "optimized geometry", "cell": [[6.734, -3.251, 0.000], [6.734, 3.251, 0.000], [-6.441, 0.000, 7.559]], "species": ["K", "K", "K", "K", "Os", "Os", "F", "F", "F", "F", "F", "F", "F", "F", "F", "F", "F", "F", "F", "F"], "frac_coords": [[0.000, 0.304, 0.229], [0.000, 0.696, 0.771], [0.304, 0.000, 0.729], [0.696, 0.000, 0.271], [0.303, 0.697, 0.250], [0.697, 0.303, 0.750], [0.025, 0.132, 0.904], [0.132, 0.025, 0.404], [0.184, 0.584, 0.308], [0.249, 0.464, 0.012], [0.390, 0.610, 0.750], [0.416, 0.816, 0.192], [0.464, 0.249, 0.512], [0.536, 0.751, 0.488], [0.584, 0.184, 0.808], [0.610, 0.390, 0.250], [0.751, 0.536, 0.988], [0.816, 0.416, 0.692], [0.868, 0.975, 0.596], [0.975, 0.868, 0.096]], "dos_ef_per_ev_cell": 9.645}

{"formula": "KOs2F2", "functional": "PBE", "state": "optimized geometry", "cell": [[4.397, 0.000, 0.000], [0.000, 4.397, 0.000], [0.000, 0.000, 9.861]], "species": ["K", "K", "Os", "Os", "Os", "Os", "F", "F", "F", "F"], "frac_coords": [[0.000, 0.000, 0.000], [0.500, 0.500, 0.500], [0.000, 0.000, 0.393], [0.000, 0.000, 0.607], [0.500, 0.500, 0.107], [0.500, 0.500, 0.893], [0.000, 0.500, 0.250], [0.000, 0.500, 0.750], [0.500, 0.000, 0.250], [0.500, 0.000, 0.750]], "dos_ef_per_ev_cell": 3.375}

{"formula": "K3OsF7", "functional": "PBE", "state": "optimized geometry", "cell": [[4.466, -4.353, 0.000], [4.466, 4.353, 0.000], [-4.189, 0.000, 4.919]], "species": ["K", "K", "K", "Os", "F", "F", "F", "F", "F", "F", "F"], "frac_coords": [[0.000, 0.000, 0.000], [0.261, 0.726, 0.526], [0.726, 0.261, 0.526], [0.530, 0.530, 0.066], [0.198, 0.473, 0.751], [0.360, 0.360, 0.183], [0.379, 0.817, 0.203], [0.473, 0.198, 0.751], [0.686, 0.686, 0.930], [0.799, 0.799, 0.454], [0.817, 0.379, 0.203]]}

{"formula": "KOs2F", "functional": "PBE", "state": "optimized geometry", "cell": [[6.679, 0.000, 0.000], [0.000, 6.679, 0.000], [0.000, 0.000, 6.679]], "species": ["K", "K", "K", "K", "Os", "Os", "Os", "Os", "Os", "Os", "Os", "Os", "F", "F", "F", "F"], "frac_coords": [[0.000, 0.000, 0.000], [0.000, 0.500, 0.500], [0.500, 0.000, 0.500], [0.500, 0.500, 0.000], [0.250, 0.250, 0.250], [0.250, 0.250, 0.750], [0.250, 0.750, 0.250], [0.250, 0.750, 0.750], [0.750, 0.250, 0.250], [0.750, 0.250, 0.750], [0.750, 0.750, 0.250], [0.750, 0.750, 0.750], [0.000, 0.000, 0.500], [0.000, 0.500, 0.000], [0.500, 0.000, 0.000], [0.500, 0.500, 0.500]], "dos_ef_per_ev_cell": 16.028}

{"formula": "KOs3F", "functional": "PBE", "state": "optimized geometry", "cell": [[4.450, 0.000, 0.000], [0.000, 4.450, 0.000], [0.000, 0.000, 4.450]], "species": ["K", "Os", "Os", "Os", "F"], "frac_coords": [[0.000, 0.000, 0.000], [0.000, 0.500, 0.500], [0.500, 0.000, 0.500], [0.500, 0.500, 0.000], [0.500, 0.500, 0.500]], "dos_ef_per_ev_cell": 7.746}

{"formula": "KRbOsF6", "functional": "PBE", "state": "optimized geometry", "cell": [[6.347, 0.000, 0.000], [-3.174, 5.497, 0.000], [0.000, 0.000, 5.389]], "species": ["K", "Rb", "Os", "F", "F", "F", "F", "F", "F"], "frac_coords": [[0.000, 0.000, 0.000], [0.333, 0.667, 0.500], [0.667, 0.333, 0.000], [0.409, 0.076, 0.792], [0.409, 0.334, 0.208], [0.666, 0.076, 0.208], [0.666, 0.591, 0.792], [0.924, 0.334, 0.792], [0.924, 0.591, 0.208]], "dos_ef_per_ev_cell": 6.965}

{"formula": "KOsRhF2", "functional": "PBE", "state": "optimized geometry", "cell": [[4.363, 0.000, 0.000], [0.000, 4.363, 0.000], [0.000, 0.000, 4.770]], "species": ["K", "Os", "Rh", "F", "F"], "frac_coords": [[0.000, 0.000, 0.000], [0.500, 0.500, 0.500], [0.500, 0.500, 0.000], [0.000, 0.500, 0.500], [0.500, 0.000, 0.500]], "dos_ef_per_ev_cell": 3.505}

The following energy relative to the elements, uncorrected values (in eV per atom) correspond, in order, to the records above: -2.200 4.025 -0.399 -0.324 -1.163 -2.195 0.352 -2.265 2.311 2.180 -2.248 -0.235.
The following total magnetic moment values (in μB per cell) correspond, in order, to the records above: 1.0 7.9 13.9 0.0 2.6 2.0 2.0 0.1 21.2 3.5 2.0 0.0.